## MnCd2Te3 (meta-GGA SCAN)

Data for MnCd2Te3 at its PBEsol-relaxed geometry.

a b c (Å): 4.5398 4.5398 11.0035
angles (deg): 90.00 90.00 120.00
Site moments in Bohr magnetons follow the coordinates.
Fractional coordinates of all 6 atoms:
Te 0.0000 0.0000 0.7492  0.02
Te 0.3333 0.6667 0.4048  0.01
Mn 0.6667 0.3333 0.3379  4.43
Cd 0.3333 0.6667 0.6602  0.01
Te 0.6667 0.3333 0.0942  0.01
Cd 0.0000 0.0000 0.0036  0.02

Values from the calculation:
The calculation puts the magnetic moment at 5.0 Bohr magnetons per cell. For the energy relative to the elements, uncorrected, the calculation gives -11.82 kcal/mol of atoms. The theoretical density comes out at 5.602 g/cm³. Its space group is P3m1 (156).